Entry one
Compound: Tl3WSe
Source: Alexandria via LeMat-Bulk
Functional: PBE-GGA
Structure: optimized geometry

Calculated values
* calculated volume: 32.62 A^3/atom

Unit cell a=5.4639 b=5.4639 c=5.4639 alpha=90.00 beta=90.00 gamma=90.00
Each line ends with the local moment (μB).
Element x y z (fractional)
Tl  0.0000  0.5000  0.0000  0.05
Tl  0.0000  0.0000  0.5000  0.04
Tl  0.5000  0.0000  0.0000  0.01
Se  0.5000  0.5000  0.5000  0.44
W  0.0000  0.0000  0.0000  1.68

Entry two
Compound: Tl3WSe
Source: Alexandria via LeMat-Bulk
Functional: PBE-GGA
Structure: optimized geometry

Calculated values
* calculated volume: 38.12 A^3/atom

Unit cell a=5.7551 b=5.7551 c=5.7551 alpha=90.00 beta=90.00 gamma=90.00
Each line ends with the local moment (μB).
Element x y z (fractional)
Tl  0.0000  0.5000  0.0000  -0.01
Tl  0.0000  0.0000  0.5000  0.01
Tl  0.5000  0.0000  0.0000  -0.01
Se  0.0000  0.0000  0.0000  0.02
W  0.5000  0.5000  0.5000  3.39

Stability check: which of them is most stable? entry one.

Entry one
Compound: YTlSe
Source: Alexandria via LeMat-Bulk
Functional: PBE-GGA
Structure: optimized geometry

Calculated values
* calculated volume: 30.07 A^3/atom

Unit cell a=5.0341 b=5.0341 c=5.0341 alpha=60.00 beta=60.00 gamma=60.00
Element x y z (fractional)
Se  0.0000  0.0000  0.0000
Tl  0.5000  0.5000  0.5000
Y  0.2500  0.2500  0.2500

Entry two
Compound: YTlSe
Source: Alexandria via LeMat-Bulk
Functional: PBE-GGA
Structure: optimized geometry

Calculated values
* calculated volume: 29.42 A^3/atom

Unit cell a=4.8139 b=4.8139 c=4.3974 alpha=90.00 beta=90.00 gamma=120.00
Element x y z (fractional)
Se  0.0000  0.0000  0.8330
Tl  0.6667  0.3333  0.3333
Y  0.3333  0.6667  0.8336

Entry three
Compound: YTlSe
Source: Alexandria via LeMat-Bulk
Functional: PBE-GGA
Structure: optimized geometry

Calculated values
* calculated volume: 28.68 A^3/atom

Unit cell a=4.9552 b=4.9552 c=4.9552 alpha=60.00 beta=60.00 gamma=60.00
Element x y z (fractional)
Se  0.2500  0.2500  0.2500
Tl  0.0000  0.0000  0.0000
Y  0.5000  0.5000  0.5000

Stability check: which of them is most stable? entry two.

Entry one
Compound: YTlSe
Source: Alexandria via LeMat-Bulk
Functional: PBE-GGA
Structure: optimized geometry

Calculated values
* calculated volume: 29.74 A^3/atom

Unit cell a=6.7858 b=6.7860 c=3.7825 alpha=73.81 beta=73.82 gamma=32.37
Element x y z (fractional)
Se  0.0543  0.0543  0.9457
Tl  0.3073  0.3073  0.6927
Y  0.6384  0.6384  0.3616

Entry two
Compound: YTlSe
Source: Alexandria via LeMat-Bulk
Functional: PBE-GGA
Structure: optimized geometry

Calculated values
* calculated volume: 30.73 A^3/atom

Unit cell a=4.0092 b=4.0092 c=6.6237 alpha=90.00 beta=90.00 gamma=120.00
Element x y z (fractional)
Se  0.0000  0.0000  0.9378
Tl  0.6667  0.3333  0.3531
Y  0.3333  0.6667  0.7090

Stability check: which of them is most stable? entry one.

Entry one
Compound: Y4TlSe2
Source: Alexandria via LeMat-Bulk
Functional: PBE-GGA
Structure: optimized geometry

Calculated values
* calculated volume: 27.31 A^3/atom

Unit cell a=4.0659 b=7.0489 c=13.9300 alpha=90.00 beta=90.00 gamma=106.76
Element x y z (fractional)
Y  0.2304  0.4609  0.6219
Y  0.7696  0.5391  0.3781
Y  0.7696  0.5391  0.1219
Y  0.2304  0.4609  0.8781
Y  0.9306  0.8611  0.7500
Y  0.0694  0.1389  0.2500
Y  0.5000  0.0000  0.0000
Y  0.5000  0.0000  0.5000
Tl  0.3946  0.7892  0.2500
Tl  0.6054  0.2108  0.7500
Se  0.8641  0.7281  0.9417
Se  0.1359  0.2719  0.0583
Se  0.8641  0.7281  0.5583
Se  0.1359  0.2719  0.4417

Entry two
Compound: Y4TlSe2
Source: Alexandria via LeMat-Bulk
Functional: PBE-GGA
Structure: optimized geometry

Calculated values
* calculated volume: 27.55 A^3/atom

Unit cell a=3.9126 b=3.9126 c=14.7223 alpha=82.36 beta=82.36 gamma=60.00
Each line ends with the local moment (μB).
Element x y z (fractional)
Y  0.1342  0.1342  0.5974  -0.17
Y  0.2809  0.2809  0.1573  0.01
Y  0.7191  0.7191  0.8427  0.01
Y  0.8658  0.8658  0.4026  -0.17
Tl  0.0000  0.0000  0.0000  -0.01
Se  0.4257  0.4257  0.7228  0.00
Se  0.5743  0.5743  0.2772  0.00

Stability check: which of them is most stable? entry one.

Entry one
Compound: YTlSe3
Source: Alexandria via LeMat-Bulk
Functional: PBE-GGA
Structure: optimized geometry

Calculated values
* calculated volume: 33.97 A^3/atom

Unit cell a=5.5382 b=5.5382 c=5.5382 alpha=90.00 beta=90.00 gamma=90.00
Each line ends with the local moment (μB).
Element x y z (fractional)
Y  0.0000  0.0000  0.0000  -0.01
Tl  0.5000  0.5000  0.5000  0.00
Se  0.0000  0.5000  0.0000  0.20
Se  0.0000  0.0000  0.5000  0.18
Se  0.5000  0.0000  0.0000  0.11

Entry two
Compound: YTlSe3
Source: Alexandria via LeMat-Bulk
Functional: PBE-GGA
Structure: optimized geometry

Calculated values
* calculated volume: 29.45 A^3/atom

Unit cell a=5.2806 b=5.2806 c=5.2806 alpha=90.00 beta=90.00 gamma=90.00
Element x y z (fractional)
Y  0.5000  0.5000  0.5000
Tl  0.0000  0.0000  0.0000
Se  0.0000  0.5000  0.0000
Se  0.0000  0.0000  0.5000
Se  0.5000  0.0000  0.0000

Stability check: which of them is most stable? entry one.

Entry one
Compound: YTlSe4
Source: Alexandria via LeMat-Bulk
Functional: PBE-GGA
Structure: optimized geometry

Calculated values
* calculated volume: 27.47 A^3/atom

Unit cell a=6.2684 b=6.2684 c=8.3908 alpha=90.00 beta=90.00 gamma=90.00
Element x y z (fractional)
Y  0.5000  0.5000  0.0000
Y  0.0000  0.0000  0.0000
Tl  0.5000  0.5000  0.5000
Tl  0.0000  0.0000  0.5000
Se  0.6371  0.8629  0.2071
Se  0.1371  0.6371  0.2071
Se  0.8629  0.3629  0.2071
Se  0.6371  0.1371  0.7929
Se  0.3629  0.8629  0.7929
Se  0.3629  0.1371  0.2071
Se  0.8629  0.6371  0.7929
Se  0.1371  0.3629  0.7929

Entry two
Compound: YTlSe4
Source: Alexandria via LeMat-Bulk
Functional: PBE-GGA
Structure: optimized geometry

Calculated values
* calculated volume: 24.29 A^3/atom

Unit cell a=5.9070 b=5.9070 c=5.9070 alpha=60.00 beta=60.00 gamma=60.00
Element x y z (fractional)
Y  0.0000  0.0000  0.0000
Tl  0.7500  0.7500  0.7500
Se  0.8772  0.3743  0.3743
Se  0.3743  0.3743  0.8772
Se  0.3743  0.8772  0.3743
Se  0.3743  0.3743  0.3743

Stability check: which of them is most stable? entry one.